Entry from Alexandria: a crystal of NbCrPdN2 relaxed with PBEsol (SCAN).

```
NbCrPdN2
1.0
-2.5672 2.4472 1.2783
-2.7506 -2.1165 -1.4724
-0.3304 -2.6844 4.4758
N Pd Nb Cr
2 1 1 1
Cartesian
-1.3753 -1.0582 -0.7362
-1.2836 1.2236 0.6391
0.0000 0.0000 0.0000
-0.1652 -1.3422 2.2379
-2.8241 -1.1768 2.1408
```

Calculated values
Raw formation energy (eV/f.u.): 8.927
SG: P4/mmm, No. 123



Entry from Alexandria: a crystal of Tl2CuW relaxed with PBEsol (SCAN).

```
Tl2CuW
1.0
-0.0388 2.5343 1.6005
-4.0181 1.7360 -2.8462
-0.9670 -4.0962 3.6555
Tl W Cu
2 1 1
Cartesian
-1.6071 -1.0522 1.6271
-3.4168 1.2262 0.7827
-0.0194 1.2671 0.8003
-2.0091 0.8680 -1.4231
```

Calculated values
SG: Immm, No. 71
DFT formation energy (eV per atom): 1.04



Entry from Alexandria: a crystal of KTlAs2 relaxed with PBEsol (SCAN).

```
KTlAs2
1.0
-2.3114 -2.7991 0.8362
3.9443 -3.4276 -0.5710
0.4896 3.6922 5.4152
K Tl As
1 1 2
Cartesian
1.2233 0.5421 5.1963
2.6133 -1.4297 2.4378
-0.5938 -1.1506 2.8048
0.1858 0.0823 0.7893
```

Calculated values
Polymorph energy (0 for the lowest one) (meV/atom): 45
SG: Imm2, No. 44
DFT formation energy (eV per atom): -0.25



Entry from Alexandria: a crystal of Tc2MoAuN relaxed with PBEsol (SCAN).

```
Tc2MoAuN
1.0
3.7453 0.0000 0.0000
0.0000 4.7034 0.0000
0.0000 0.0000 4.7034
Tc N Au Mo
2 1 1 1
Cartesian
0.0000 2.3517 0.0000
0.0000 0.0000 2.3517
1.8726 0.0000 0.0000
1.8726 2.3517 2.3517
0.0000 0.0000 0.0000
```

Calculated values
Raw formation energy (eV/f.u.): 7.331
SG: P4/mmm, No. 123



Entry from Alexandria: a crystal of SrPAu2 relaxed with PBEsol (SCAN).

```
SrPAu2
1.0
4.3395 0.0000 -0.0647
0.0000 4.3397 0.0000
-2.0829 -2.1699 4.7688
Au Sr P
2 1 1
Cartesian
2.7717 0.0000 3.1272
2.7221 0.0000 0.3443
0.5727 2.1699 1.7682
0.6164 0.0000 4.1362
```

Calculated values
SG: Cm, No. 8
DFT formation energy (eV per atom): -0.83



Entry from Alexandria: a crystal of Na9Ti20O40 relaxed with PBEsol (SCAN).

```
Na9Ti20O40
1.0
-6.5925 0.2825 -5.5055
2.6452 -2.0659 -9.9805
-4.9478 -9.2097 -1.2549
Ti Na O
20 9 40
Cartesian
-6.6010 -6.5369 -14.2524
-4.6743 -2.6815 -6.2536
-3.9652 -4.3847 -3.8841
-5.1820 -6.9429 -9.1546
-5.4322 -0.9407 -8.6414
-5.2753 -3.9833 -8.8910
-6.4606 -9.5817 -14.5657
-4.0065 -4.9678 -13.8947
-6.4381 -8.9950 -4.4772
-0.7966 -2.0693 -10.8771
-2.5489 -8.3833 -9.0912
-7.9150 -5.5198 -9.3372
-0.1141 -3.8328 -8.4678
-4.4718 -8.6650 -6.8039
-2.7522 -2.3998 -8.5415
-3.8602 -7.3712 -4.1637
-6.0103 -5.2578 -11.6046
-5.1179 -9.9815 -9.4816
-3.2336 -6.0962 -1.4640
-4.0948 -1.3403 -3.5618
-1.5517 -2.9686 -1.6484
-1.2647 -2.6356 -5.3531
-4.0477 -8.1658 -12.3403
-7.9358 -8.7275 -7.7121
0.0000 0.0000 0.0000
-2.5031 -5.2215 -10.6595
-4.2548 -2.1245 -11.7811
-6.3672 -5.7728 -6.0608
-7.6551 -8.3565 -11.4085
-5.5262 -4.0719 -5.0939
-3.7843 -3.8158 -7.6099
-3.6673 -7.2392 -7.9256
-8.9407 -6.9518 -8.3541
-5.1532 -3.8186 -12.7286
-1.6121 -3.5137 -9.7473
-5.5967 -1.4987 -4.8673
-3.8863 -1.2232 -7.3806
-2.9748 -5.7654 -4.9092
-2.3358 -5.0341 -12.7972
-0.7712 -5.4484 -7.5316
-6.7461 -6.6901 -10.4441
-2.1879 -2.0010 -12.3311
-4.5693 -5.3375 -10.1587
-4.4120 -2.3393 -9.6617
-1.4897 -7.0018 -10.0777
-6.6484 -10.1445 -10.7586
-5.3990 -7.5602 -5.4204
-2.4382 -4.6543 -2.6155
-6.8324 -4.1024 -10.2081
-7.4607 -8.1877 -13.5242
-3.5907 -9.8307 -8.1761
-3.3183 -2.7248 -4.7900
-4.6305 -6.0072 -2.9131
-8.1169 -8.9318 -5.5872
-1.0704 -2.3930 -7.4598
-5.8696 -8.5944 -8.2372
-0.3575 -0.9296 -4.4047
-4.7722 -9.0209 -3.3774
-4.9296 -9.8715 -13.2904
-6.0760 -2.5756 -7.6883
-8.4483 -5.8781 -5.5213
-9.7038 -8.5197 -10.8504
-5.0702 -6.3983 -12.9674
-2.5557 -1.1821 -2.2732
-5.6825 -4.9252 -15.0120
-4.2125 -8.3579 -10.2164
0.5805 -2.1737 -9.4357
-8.0016 -9.2929 -15.8015
-6.2348 -5.5739 -8.1765
```

Calculated values
Raw formation energy (eV/f.u.): -207.994
SG: I-4, No. 82



Entry from Alexandria: a crystal of Ba3TmB3O9 relaxed with PBEsol (SCAN).

```
Ba3TmB3O9
1.0
9.3839 0.0000 0.0000
-4.6920 8.1267 0.0000
0.0000 0.0000 17.3951
O Tm Ba B
54 6 18 18
Cartesian
1.6868 0.0000 15.9652
5.6314 1.1979 7.5237
3.7855 6.5567 9.9182
5.5309 4.2780 7.5237
2.2573 1.5007 4.3833
0.9394 6.9289 7.5237
2.4347 6.6261 13.0809
0.1710 2.7052 4.3833
-0.9065 1.5701 9.9182
6.9557 1.2046 4.3833
7.5710 0.0000 1.2207
7.1266 1.5007 13.0809
3.8775 1.2036 10.1879
-2.4351 4.2177 4.3953
-0.8965 3.9598 10.1879
4.8701 0.0000 4.3953
1.8130 0.0000 9.9182
-2.4347 6.6261 4.3833
-2.2637 6.9222 13.0809
-0.8144 6.9232 10.1879
6.4703 2.6509 16.2212
3.7955 4.1669 10.1879
5.5064 1.2036 1.4904
4.5210 5.4215 13.0809
0.8144 6.9232 1.4904
-1.7109 5.3705 1.4904
4.5138 0.0000 13.0929
2.4283 1.2046 13.0809
0.9065 1.5701 1.2207
5.5884 4.1669 1.4904
2.9811 2.7563 1.4904
1.7783 5.4759 16.2212
-0.1710 2.7052 13.0809
-2.2569 3.9091 13.0929
2.2637 6.9222 4.3833
2.2569 3.9091 4.3953
3.8486 6.6659 15.9652
-0.9394 6.9289 16.2212
2.4351 4.2177 13.0929
0.8389 3.8487 7.5237
-1.7783 5.4759 7.5237
-3.8486 6.6659 7.2677
-0.8389 3.8487 16.2212
1.7109 5.3705 10.1879
-3.7855 6.5567 1.2207
0.8965 3.9598 1.4904
3.8531 4.2780 16.2212
6.4029 2.7563 10.1879
0.8434 1.4608 7.2677
2.9136 2.6509 7.5237
4.8629 5.4215 4.3833
-0.8434 1.4608 15.9652
3.7526 1.1979 16.2212
7.6971 0.0000 7.2677
0.0000 0.0000 8.6803
0.0000 0.0000 17.3779
4.6920 2.7089 8.7734
4.6920 2.7089 0.0758
0.0000 5.4178 0.0758
0.0000 5.4178 8.7734
1.5024 2.6022 10.9683
3.2449 0.0000 6.4845
6.1390 0.0000 15.1820
0.0000 5.4178 12.6203
6.3791 0.0000 10.9683
3.0695 5.3166 6.4845
3.0048 0.0000 2.2708
-1.6225 2.8102 6.4845
0.0000 0.0000 4.9211
4.6920 2.7089 3.9228
1.6225 2.8102 15.1820
0.0000 5.4178 3.9228
-3.0695 5.3166 15.1820
-1.5024 2.6022 2.2708
0.0000 0.0000 13.6186
-3.1896 5.5245 10.9683
4.6920 2.7089 12.6203
3.1896 5.5245 2.2708
3.1230 0.0000 13.0893
1.5615 2.7046 4.3918
-3.1305 5.4222 4.3918
3.1919 0.0000 10.1000
3.0960 5.3624 10.1000
-3.1607 5.4745 7.4339
-1.5960 2.7643 10.1000
6.1920 0.0000 1.4025
3.1305 5.4222 13.0893
6.2610 0.0000 4.3918
-1.5615 2.7046 13.0893
3.1607 5.4745 16.1314
1.5960 2.7643 1.4025
-1.5313 2.6523 16.1314
1.5313 2.6523 7.4339
3.0626 0.0000 16.1314
-3.0960 5.3624 1.4025
6.3214 0.0000 7.4339
```

Calculated values
Raw formation energy (eV/f.u.): -51.160
SG: P6_3cm, No. 185



Entry from Alexandria: a crystal of ZrAl2GaAu relaxed with PBEsol (SCAN).

```
ZrAl2GaAu
1.0
4.7494 0.0000 0.0000
0.0000 4.7494 0.0000
0.0000 0.0000 4.7775
Zr Al Au Ga
1 2 1 1
Cartesian
2.3747 2.3747 2.3887
2.3747 0.0000 0.0000
0.0000 2.3747 0.0000
0.0000 0.0000 0.0000
0.0000 0.0000 2.3887
```

Calculated values
SG: P4/mmm, No. 123
DFT formation energy (eV per atom): 0.27



Entry from Alexandria: a crystal of Mg2TlNi relaxed with PBEsol (SCAN).

```
Mg2TlNi
1.0
3.3270 -0.0006 -0.0008
-0.0007 4.6069 -0.0545
-1.6643 -2.2299 4.7702
Mg Tl Ni
2 1 1
Cartesian
0.0002 0.0006 0.0403
-0.0010 2.3338 1.9927
1.6628 0.0397 2.6892
-0.0017 0.0755 4.7352
```

Calculated values
SG: Cm, No. 8
DFT formation energy (eV per atom): -0.03



Entry from Alexandria: a crystal of KCd2Cu relaxed with PBEsol (SCAN).

```
KCd2Cu
1.0
2.8946 0.0000 0.0000
0.0000 5.4483 0.0000
-1.4473 -2.7241 5.6714
Cu Cd K
1 2 1
Cartesian
1.4473 0.0000 0.0000
1.4473 2.7241 3.4062
0.0000 0.0000 2.2652
0.0000 2.7241 0.0000
```

Calculated values
Polymorph energy (0 for the lowest one) (meV/atom): 97
SG: Immm, No. 71
DFT formation energy (eV per atom): 0.13



Entry from Alexandria: a crystal of Mg3InHg relaxed with PBEsol (SCAN).

```
Mg3InHg
1.0
-0.1644 -5.2365 -0.7642
5.0779 -0.3713 1.4523
-1.4900 -0.6878 5.0338
Hg Mg In
1 3 1
Cartesian
1.7118 -3.1479 2.8610
-0.0822 -2.6183 -0.3821
-0.7450 -0.3439 2.5169
2.5390 -0.1857 0.7262
0.0000 0.0000 0.0000
```

Calculated values
SG: Pm-3m, No. 221
DFT formation energy (eV per atom): 0.20



Entry from Alexandria: a crystal of RbBaSb2I relaxed with PBEsol (SCAN).

```
RbBaSb2I
1.0
-5.0097 -3.8734 -0.3943
1.4857 -1.3080 -6.0280
3.7598 -5.0691 2.0266
Sb I Ba Rb
2 1 1 1
Cartesian
0.7429 -0.6540 -3.0140
-2.5048 -1.9367 -0.1971
1.8799 -2.5345 1.0133
0.0000 0.0000 0.0000
0.1179 -5.1252 -2.1979
```

Calculated values
Raw formation energy (eV/f.u.): -1.100
SG: P4/mmm, No. 123



Number 1: DOS at the Fermi energy 0.6802 states/eV per atom. Number 2: DOS at the Fermi energy 0.5221 states/eV per atom. Number 3: DOS at the Fermi energy 0.2023 states/eV per atom. Number 4: DOS at the Fermi energy 0.8021 states/eV per atom. Number 5: DOS at the Fermi energy 0.4630 states/eV per atom. Number 6: DOS at the Fermi energy 0.3802 states/eV per atom. Number 7: DOS at the Fermi energy 0.0000 states/eV per atom. Number 8: DOS at the Fermi energy 0.5012 states/eV per atom. Number 9: DOS at the Fermi energy 0.3435 states/eV per atom. Number 10: DOS at the Fermi energy 0.2864 states/eV per atom. Number 11: DOS at the Fermi energy 0.3985 states/eV per atom. Number 12: DOS at the Fermi energy 0.9377 states/eV per atom.